No. 1
A plane-wave DFT calculation with PBE was carried out for crystalline P2IrAuS at its relaxed geometry.

* energy relative to the elements, uncorrected: 3.8 eV/f.u.
* crystal system: tetragonal

a = 4.4762 Å, b = 4.4762 Å, c = 5.1169 Å
α = 90.00°, β = 90.00°, γ = 90.00°
Fractional positions:
S  0.0000  0.0000  0.5000
P  0.5000  0.0000  0.0000
Au  0.5000  0.5000  0.5000
P  0.0000  0.5000  0.0000
Ir  0.0000  0.0000  0.0000

---

No. 2
A plane-wave DFT calculation with PBE was carried out for crystalline Ce3Pa2O9 at its relaxed geometry.

* energy relative to the elements, uncorrected: -48.2 eV/f.u.
* crystal system: tetragonal

a = 3.9008 Å, b = 3.9008 Å, c = 14.0417 Å
α = 97.98°, β = 97.98°, γ = 90.00°
Site moments in Bohr magnetons follow the coordinates.
Fractional positions:
Pa  0.5531  0.0531  0.1061  0.23
O  0.9109  0.9109  0.8217  -0.01
Pa  0.9469  0.4469  0.8939  0.23
O  0.1968  0.1968  0.3936  -0.02
Ce  0.1545  0.6545  0.3089  0.59
O  0.0891  0.0891  0.1783  -0.01
Ce  0.3455  0.8455  0.6911  0.59
O  0.5000  0.5000  0.0000  -0.01
O  0.7005  0.7005  0.4010  -0.02
O  0.8032  0.8032  0.6064  -0.02
O  0.2995  0.2995  0.5990  -0.02
O  0.4035  0.4035  0.8071  -0.01
Ce  0.7500  0.2500  0.5000  0.51
O  0.5965  0.5965  0.1929  -0.01

---

No. 3
A plane-wave DFT calculation with PBE was carried out for crystalline Y2TlSe at its relaxed geometry.

* energy relative to the elements, uncorrected: -3.1 eV/f.u.
* crystal system: monoclinic

a = 5.4253 Å, b = 7.5318 Å, c = 3.6550 Å
α = 73.94°, β = 81.67°, γ = 126.94°
Fractional positions:
Y  0.0000  0.5000  0.5000
Tl  0.5000  0.0000  0.5000
Y  0.0000  0.0000  0.0000
Se  0.5000  0.5000  0.0000

---

No. 4
A plane-wave DFT calculation with PBE was carried out for crystalline Hf2ScPt3 at its relaxed geometry.

* crystal system: orthorhombic
* formation energy from the elements: -1.100 eV/atom

a = 3.5044 Å, b = 4.5903 Å, c = 13.9816 Å
α = 90.00°, β = 90.00°, γ = 90.00°
Fractional positions:
Pt  0.5705  0.5000  0.6753
Sc  0.0272  0.0000  0.0000
Hf  0.0060  0.5000  0.8359
Hf  0.9940  0.0000  0.3359
Pt  0.4029  0.0000  0.5000
Hf  0.9940  0.0000  0.6641
Pt  0.4295  0.0000  0.1753
Pt  0.5705  0.5000  0.3247
Sc  0.9728  0.5000  0.5000
Pt  0.5971  0.5000  0.0000
Hf  0.0060  0.5000  0.1641
Pt  0.4295  0.0000  0.8247

---

No. 5
A plane-wave DFT calculation with PBE was carried out for crystalline Sm5Dy4Y at its relaxed geometry.

* crystal system: tetragonal
* formation energy from the elements: 0.293 eV/atom

a = 6.2853 Å, b = 7.9199 Å, c = 7.9199 Å
α = 80.94°, β = 66.62°, γ = 66.62°
Fractional positions:
Sm  0.7205  0.0796  0.3806
Dy  0.7949  0.6990  0.6103
Sm  0.8001  0.3806  0.9204
Dy  0.4939  0.6103  0.3010
Sm  0.6844  0.0000  0.0000
Dy  0.4052  0.3897  0.6990
Sm  0.1807  0.9204  0.6194
Sm  0.1011  0.6194  0.0796
Dy  0.1042  0.3010  0.3897
Y  0.2253  0.0000  0.0000

---

No. 6
A plane-wave DFT calculation with PBE was carried out for crystalline Te2IrWI at its relaxed geometry.

* energy relative to the elements, uncorrected: 7.6 eV/f.u.
* crystal system: tetragonal

a = 5.1967 Å, b = 5.1967 Å, c = 5.4746 Å
α = 90.00°, β = 90.00°, γ = 90.00°
Site moments in Bohr magnetons follow the coordinates.
Fractional positions:
W  0.0000  0.0000  0.0000  -0.51
I  0.0000  0.0000  0.5000  0.07
Ir  0.5000  0.5000  0.5000  1.72
Te  0.5000  0.0000  0.0000  0.05
Te  0.0000  0.5000  0.0000  0.05